1.
{"formula": "Ti2Al6Mo", "functional": "GGA-PBE", "state": "optimized geometry", "formation_enthalpy_0k_ev_per_fu": -0.88, "total_magnetization_mub_per_fu": 0.00, "space_group": "No. 12", "lattice_angstrom": [[-5.114, 3.295, 2.032], [-3.317, -4.019, -0.945], [-1.052, -3.468, 3.862]], "species": ["Al", "Al", "Al", "Al", "Al", "Al", "Mo", "Ti", "Ti"], "frac_coords": [[0.313, 0.331, 0.823], [0.313, 0.823, 0.331], [0.334, 0.823, 0.823], [0.687, 0.177, 0.669], [0.687, 0.669, 0.177], [0.666, 0.177, 0.177], [0.000, 0.000, 0.000], [0.051, 0.325, 0.325], [0.949, 0.675, 0.675]]}

2.
{"formula": "Hf2MgSb", "functional": "GGA-PBE", "state": "optimized geometry", "e_above_lowest_polymorph_mev_per_atom": 165.8, "total_magnetization_mub_per_fu": 0.01, "space_group": "No. 160", "raw_formation_energy_ev_per_atom": 0.19, "lattice_angstrom": [[3.645, 0.000, 0.000], [1.823, 3.157, 0.000], [1.823, 1.052, 8.562]], "species": ["Mg", "Sb", "Hf", "Hf"], "frac_coords": [[0.499, 0.499, 0.502], [0.667, 0.667, 0.999], [0.258, 0.258, 0.225], [0.075, 0.075, 0.775]]}

3.
{"formula": "Tb5PmAl6", "functional": "GGA-PBE", "state": "optimized geometry", "formation_enthalpy_0k_ev_per_fu": -4.70, "total_magnetization_mub_per_fu": 0.00, "space_group": "No. 65", "lattice_angstrom": [[0.374, 4.759, 1.860], [-1.849, -2.438, 6.611], [7.606, 1.161, 2.555]], "species": ["Al", "Al", "Al", "Al", "Al", "Al", "Tb", "Tb", "Tb", "Tb", "Tb", "Pm"], "frac_coords": [[0.832, 0.254, 0.337], [0.168, 0.746, 0.663], [0.500, 0.747, 0.000], [0.500, 0.253, 0.000], [0.168, 0.254, 0.663], [0.832, 0.746, 0.337], [0.000, 0.500, 0.000], [0.665, 0.500, 0.670], [0.333, 0.000, 0.335], [0.667, 0.000, 0.665], [0.335, 0.500, 0.330], [0.000, 0.000, 0.000]]}

4.
{"formula": "YSc2Ti", "functional": "GGA-PBE", "state": "optimized geometry", "e_above_lowest_polymorph_mev_per_atom": 32.8, "formation_enthalpy_0k_ev_per_fu": 0.68, "total_magnetization_mub_per_fu": 0.80, "space_group": "No. 123", "lattice_angstrom": [[-3.518, 0.145, -3.003], [2.941, -0.453, -3.467], [-0.402, -4.545, 0.252]], "species": ["Sc", "Sc", "Y", "Ti"], "frac_coords": [[0.000, 0.500, 0.000], [0.000, 0.000, 0.500], [0.500, 0.000, 0.000], [0.500, 0.500, 0.500]]}

5.
{"formula": "Al2Co2Au", "functional": "GGA-PBE", "state": "optimized geometry", "e_above_lowest_polymorph_mev_per_atom": 8.3, "formation_enthalpy_0k_ev_per_fu": -1.35, "total_magnetization_mub_per_fu": 0.00, "space_group": "No. 127", "lattice_angstrom": [[-5.972, -3.209, 1.310], [2.319, -5.639, -3.241], [1.044, -0.958, 2.413]], "species": ["Co", "Co", "Co", "Co", "Al", "Al", "Al", "Al", "Au", "Au"], "frac_coords": [[0.653, 0.847, 0.500], [0.847, 0.347, 0.500], [0.347, 0.153, 0.500], [0.153, 0.653, 0.500], [0.860, 0.640, 0.000], [0.360, 0.860, 0.000], [0.640, 0.140, 0.000], [0.140, 0.360, 0.000], [0.500, 0.500, 0.000], [0.000, 0.000, 0.000]]}

6.
{"formula": "Li7In4Hg", "functional": "GGA-PBE", "state": "optimized geometry", "formation_enthalpy_0k_ev_per_fu": -2.42, "total_magnetization_mub_per_fu": 0.00, "space_group": "No. 12", "lattice_angstrom": [[5.036, 0.000, 0.000], [2.518, 7.568, 1.070], [2.518, 1.363, 6.636]], "species": ["In", "In", "In", "In", "Li", "Li", "Li", "Li", "Li", "Li", "Li", "Hg"], "frac_coords": [[0.679, 0.633, 0.009], [0.321, 0.367, 0.991], [0.569, 0.289, 0.572], [0.431, 0.711, 0.428], [0.212, 0.118, 0.458], [0.219, 0.757, 0.804], [0.500, 0.000, 0.000], [0.788, 0.882, 0.542], [0.925, 0.428, 0.722], [0.075, 0.572, 0.278], [0.781, 0.243, 0.196], [0.000, 0.000, 0.000]]}